Entry 1:
# TcHgAu2

A geometry-optimized TcHgAu2 structure (PBE, OQMD).

Results
The calculated formation energy comes out at 475 meV per atom.

Lattice parameters (Å, degrees): 6.5883 6.5883 6.5883 90.00 90.00 90.00
With the nearest neighbours (Å) after each atom.
Space group F-43m (No. 216)
Unique sites:
Tc 0.0000 0.0000 0.0000  4 Hg 2.85, 4 Au 2.85
Hg 0.2500 0.2500 0.7500  4 Tc 2.85, 4 Au 2.85
Au 0.0000 0.0000 0.5000  4 Hg 2.85, 4 Au 2.85
Au 0.2500 0.2500 0.2500  4 Tc 2.85, 4 Au 2.85

Entry 2:
# Hg2TeAu

A geometry-optimized Hg2TeAu structure (PBE, OQMD).

Results
The total DFT energy (no corrections) comes out at -24.76 eV/cell.

Lattice parameters (Å, degrees): 7.2530 7.2530 7.2530 90.00 90.00 90.00
With the nearest neighbours (Å) after each atom.
Space group F-43m (No. 216)
Unique sites:
Hg 0.0000 0.0000 0.0000  4 Hg 3.14, 4 Au 3.14
Hg 0.2500 0.2500 0.2500  4 Hg 3.14, 4 Te 3.14
Te 0.0000 0.0000 0.5000  4 Hg 3.14, 4 Au 3.14
Au 0.2500 0.2500 0.7500  4 Hg 3.14, 4 Te 3.14

Entry 3:
# TmHgTe3Au

A geometry-optimized TmHgTe3Au structure (PBE, OQMD).

Results
The total DFT energy (no corrections) comes out at -82.51 eV/cell.

Lattice parameters (Å, degrees): 4.0557 15.4369 10.8419 90.00 90.00 90.00
With the nearest neighbours (Å) after each atom.
Space group Cmcm (No. 63)
Unique sites:
Tm 0.0000 0.0000 0.0000  6 Te 3.05-3.12, 4 Au 3.41
Hg 0.0000 0.2416 0.2500  6 Te 3.18-3.28
Te 0.0000 0.1000 0.7500  2 Au 2.79, 2 Tm 3.12
Te 0.0000 0.3581 0.5591  1 Au 2.75, 2 Tm 3.05
Au 0.0000 0.4756 0.7500  4 Te 2.75-2.79

Entry 4:
# TlHgAu2

A geometry-optimized TlHgAu2 structure (PBE, OQMD).

Results
The total DFT energy (no corrections) comes out at -34.72 eV/cell.

Lattice parameters (Å, degrees): 7.0048 7.0048 7.0048 90.00 90.00 90.00
With the nearest neighbours (Å) after each atom.
Space group F-43m (No. 216)
Unique sites:
Tl 0.0000 0.0000 0.0000  4 Au 3.03, 4 Hg 3.03
Hg 0.2500 0.2500 0.2500  4 Tl 3.03, 4 Au 3.03
Au 0.0000 0.0000 0.5000  4 Hg 3.03, 4 Au 3.03
Au 0.2500 0.2500 0.7500  4 Tl 3.03, 4 Au 3.03